(1)
VASP calculation (SCAN) on a PBEsol-optimized structure of LiLa4W.

Computed properties:
**Mass density**: 7.361 g cm⁻³
**Formation energy from the elements**: 100.6 kJ/mol of atoms

CIF file:
```
data_LiLa4W
_chemical_formula_sum 'Li4 La16 W4'
_cell_length_a 8.7656
_cell_length_b 8.7656
_cell_length_c 8.7656
_cell_angle_alpha 90.00
_cell_angle_beta 90.00
_cell_angle_gamma 90.00
_space_group_name_H-M_alt 'F -4 3 m'
_space_group_IT_number 216
_space_group_name_Hall 'F -4 2 3'
loop_
_atom_site_label
_atom_site_fract_x
_atom_site_fract_y
_atom_site_fract_z
Li1 0.0000 0.0000 0.0000
La1 0.1232 0.1232 0.6232
W1 0.2500 0.2500 0.2500
```


(2)
VASP calculation (SCAN) on a PBEsol-optimized structure of KNaBr2.

Computed properties:
**ΔE_f (raw)**: -1.76 eV per atom
**Mass density**: 2.699 g cm⁻³

CIF file:
```
data_KNaBr2
_chemical_formula_sum 'K4 Na4 Br8'
_cell_length_a 7.8794
_cell_length_b 7.8794
_cell_length_c 8.7965
_cell_angle_alpha 90.00
_cell_angle_beta 90.00
_cell_angle_gamma 90.00
_space_group_name_H-M_alt 'I -4 2 d'
_space_group_IT_number 122
_space_group_name_Hall 'I -4 2bw'
loop_
_atom_site_label
_atom_site_fract_x
_atom_site_fract_y
_atom_site_fract_z
K1 0.0000 0.0000 0.0000
Na1 0.0000 0.0000 0.5000
Br1 0.2151 0.2500 0.6250
```


(3)
VASP calculation (SCAN) on a PBEsol-optimized structure of Pr2Ni2I.

Computed properties:
**ΔE_f (raw)**: -0.73 eV per atom
**Mass density**: 7.250 g cm⁻³

CIF file:
```
data_Pr2Ni2I
_chemical_formula_sum 'Pr4 Ni4 I2'
_cell_length_a 4.0201
_cell_length_b 4.0201
_cell_length_c 17.2204
_cell_angle_alpha 90.00
_cell_angle_beta 90.00
_cell_angle_gamma 120.00
_space_group_name_H-M_alt 'P 63/m m c'
_space_group_IT_number 194
_space_group_name_Hall '-P 6c 2c'
loop_
_atom_site_label
_atom_site_fract_x
_atom_site_fract_y
_atom_site_fract_z
Pr1 0.0000 0.0000 0.1064
Ni1 0.3333 0.6667 0.0001
I1 0.3333 0.6667 0.2500
```


(4)
VASP calculation (SCAN) on a PBEsol-optimized structure of Mn3TeP2Pb3O14.

Computed properties:
**ΔE_f (raw)**: -1.93 eV per atom
**Mass density**: 6.042 g cm⁻³

CIF file:
```
data_Mn3TeP2Pb3O14
_chemical_formula_sum 'Mn3 Te1 P2 Pb3 O14'
_cell_length_a 8.4781
_cell_length_b 8.4781
_cell_length_c 5.2977
_cell_angle_alpha 90.00
_cell_angle_beta 90.00
_cell_angle_gamma 120.00
_space_group_name_H-M_alt 'P 3 2 1'
_space_group_IT_number 150
loop_
_space_group_symop_operation_xyz
'x,y,z'
'-y,x-y,z'
'-x+y,-x,z'
'y,x,-z'
'x-y,-y,-z'
'-x,-x+y,-z'
loop_
_atom_site_label
_atom_site_fract_x
_atom_site_fract_y
_atom_site_fract_z
Mn1 0.0000 0.2526 0.0000
Te1 0.0000 0.0000 0.5000
P1 0.3333 0.6667 0.0590
Pb1 0.0000 0.5977 0.5000
O1 0.0897 0.8735 0.7101
O2 0.2089 0.4724 0.1720
O3 0.3333 0.6667 0.7698
```


(5)
VASP calculation (SCAN) on a PBEsol-optimized structure of NdSb.

Computed properties:
**ΔE_f (raw)**: -1.32 eV per atom
**Mass density**: 7.063 g cm⁻³

CIF file:
```
data_NdSb
_chemical_formula_sum 'Nd4 Sb4'
_cell_length_a 6.3010
_cell_length_b 6.3010
_cell_length_c 6.3010
_cell_angle_alpha 90.00
_cell_angle_beta 90.00
_cell_angle_gamma 90.00
_space_group_name_H-M_alt 'F m -3 m'
_space_group_IT_number 225
_space_group_name_Hall '-F 4 2 3'
loop_
_atom_site_label
_atom_site_fract_x
_atom_site_fract_y
_atom_site_fract_z
Nd1 0.0000 0.0000 0.0000
Sb1 0.0000 0.0000 0.5000
```


(6)
VASP calculation (SCAN) on a PBEsol-optimized structure of AgHg3.

Computed properties:
**Mass density**: 14.435 g cm⁻³
**Formation energy from the elements**: 9.3 kJ/mol of atoms

CIF file:
```
data_AgHg3
_chemical_formula_sum 'Ag2 Hg6'
_cell_length_a 5.2194
_cell_length_b 6.0838
_cell_length_c 5.1415
_cell_angle_alpha 90.00
_cell_angle_beta 90.00
_cell_angle_gamma 90.00
_space_group_name_H-M_alt 'P m m n'
_space_group_IT_number 59
loop_
_space_group_symop_operation_xyz
'x,y,z'
'-x,-y,-z'
'-x+1/2,-y+1/2,z'
'x+1/2,y+1/2,-z'
'x+1/2,-y,-z'
'-x+1/2,y,z'
'-x,y+1/2,-z'
'x,-y+1/2,z'
loop_
_atom_site_label
_atom_site_fract_x
_atom_site_fract_y
_atom_site_fract_z
Ag1 0.2500 0.2500 0.1649
Hg1 0.2500 0.0037 0.6633
Hg2 0.2500 0.7500 0.1539
```


Number 1: calculated volume 28.1 Å³ per atom. Number 2: calculated volume 34.1 Å³ per atom. Number 3: calculated volume 24.1 Å³ per atom. Number 4: calculated volume 14.3 Å³ per atom. Number 5: calculated volume 31.3 Å³ per atom. Number 6: calculated volume 20.4 Å³ per atom.